Compound: YScTlCu
Source: the Open Quantum Materials Database
Functional: PBE
Structure: optimized geometry

Properties
As for the relative energy among the computed polymorphs: 0.000 eV per atom.

Cell lengths 7.0470, 7.0470, 7.0470 Å; angles 90.00, 90.00, 90.00 degrees
With the nearest neighbours (Å) after each atom.
Space group F-43m (No. 216)
Symmetry-distinct sites (fractional):
1 Y 0.0000 0.0000 0.0000  4 Sc 3.05, 4 Cu 3.05
2 Sc 0.2500 0.2500 0.2500  4 Tl 3.05, 4 Y 3.05
3 Tl 0.0000 0.0000 0.5000  4 Cu 3.05, 4 Sc 3.05
4 Cu 0.2500 0.2500 0.7500  4 Tl 3.05, 4 Y 3.05


Compound: PrYCd2Au4
Source: the Open Quantum Materials Database
Functional: PBE
Structure: optimized geometry

Properties
The calculation puts the final energy at -3.9189 eV/atom.

Cell lengths 4.9972, 4.9972, 7.0529 Å; angles 90.00, 90.00, 90.00 degrees
With the nearest neighbours (Å) after each atom.
Space group P4/mmm (No. 123)
Symmetry-distinct sites (fractional):
1 Pr 0.0000 0.0000 0.0000  8 Au 3.10
2 Y 0.5000 0.5000 0.5000  8 Au 3.01
3 Cd 0.0000 0.0000 0.5000  8 Au 3.01
4 Cd 0.5000 0.5000 0.0000  8 Au 3.10
5 Au 0.0000 0.5000 0.2613  2 Y 3.01, 4 Cd 3.01-3.10, 2 Pr 3.10, 1 Au 3.37


Compound: Pr2GaGe
Source: the Open Quantum Materials Database
Functional: PBE
Structure: optimized geometry

Properties
The calculation puts the final energy at -5.0435 eV/atom.

Cell lengths 4.1644, 4.3890, 11.4076 Å; angles 90.00, 90.00, 90.00 degrees
With the nearest neighbours (Å) after each atom.
Space group Amm2 (No. 38)
Symmetry-distinct sites (fractional):
1 Pr 0.0000 0.0000 0.0000  4 Ga 3.12, 3 Ge 3.26-3.29
2 Pr 0.5000 0.0000 0.2832  4 Ge 3.12, 3 Ga 3.25-3.29
3 Ga 0.5000 0.0000 0.5685  2 Ge 2.67
4 Ge 0.0000 0.0000 0.7145  2 Ga 2.67


Compound: RbNd4As3
Source: the Open Quantum Materials Database
Functional: PBE
Structure: optimized geometry

Properties
The calculation puts the final energy at -5.0416 eV/atom.

Cell lengths 5.0308, 5.0308, 11.1743 Å; angles 90.00, 90.00, 90.00 degrees
With the nearest neighbours (Å) after each atom.
Space group P4/mmm (No. 123)
Symmetry-distinct sites (fractional):
1 Rb 0.0000 0.0000 0.0000  8 As 4.20, 8 Nd 4.53
2 Nd 0.0000 0.5000 0.3369  4 As 2.95-3.11
3 As 0.0000 0.0000 0.5000  8 Nd 3.11
4 As 0.5000 0.5000 0.1997  4 Nd 2.95


Compound: NdEr2Se3
Source: the Open Quantum Materials Database
Functional: PBE
Structure: optimized geometry

Properties
The calculation puts the final energy at -5.8039 eV/atom.

Cell lengths 4.0683, 4.0683, 10.1520 Å; angles 90.00, 90.00, 120.00 degrees
With the nearest neighbours (Å) after each atom.
Space group P-3m1 (No. 164)
Symmetry-distinct sites (fractional):
1 Nd 0.0000 0.0000 0.0000  6 Se 2.99
2 Er 0.3333 0.6667 0.6628  6 Se 2.83-2.87
3 Se 0.0000 0.0000 0.5000  6 Er 2.87
4 Se 0.3333 0.6667 0.1818  3 Er 2.83, 3 Nd 2.99


Compound: LuZn2In
Source: the Open Quantum Materials Database
Functional: PBE
Structure: optimized geometry

Properties
The calculation puts the final energy at -2.5837 eV/atom.

Cell lengths 6.8508, 6.8508, 6.8508 Å; angles 90.00, 90.00, 90.00 degrees
With the nearest neighbours (Å) after each atom.
Space group F-43m (No. 216)
Symmetry-distinct sites (fractional):
1 Lu 0.0000 0.0000 0.0000  4 Zn 2.97, 4 In 2.97
2 Zn 0.0000 0.0000 0.5000  4 In 2.97, 4 Zn 2.97
3 Zn 0.2500 0.2500 0.2500  4 Zn 2.97, 4 Lu 2.97
4 In 0.2500 0.2500 0.7500  4 Zn 2.97, 4 Lu 2.97


Compound: KSmHgSe3
Source: the Open Quantum Materials Database
Functional: PBE
Structure: optimized geometry

Properties
The calculation puts the final energy at -3.9521 eV/atom.

Cell lengths 8.5077, 4.3178, 10.6945 Å; angles 90.00, 106.89, 90.00 degrees
With the nearest neighbours (Å) after each atom.
Space group P2_1/m (No. 11)
Symmetry-distinct sites (fractional):
1 K 0.2492 0.2500 0.2235  6 Se 3.34-3.68
2 Sm 0.1870 0.7500 0.6329  5 Se 2.86-2.98
3 Hg 0.4086 0.2500 0.8848  4 Se 2.63-2.95
4 Se 0.0433 0.7500 0.3560  3 Sm 2.86-2.94
5 Se 0.2498 0.7500 0.9445  3 Hg 2.72-2.95
6 Se 0.4322 0.2500 0.6448  1 Hg 2.63


Compound: PrY2Cd3Ga2Cu
Source: the Open Quantum Materials Database
Functional: PBE
Structure: optimized geometry

Properties
The calculation puts the final energy at -3.8318 eV/atom.

Cell lengths 4.3373, 12.8039, 7.3334 Å; angles 90.00, 90.00, 90.00 degrees
With the nearest neighbours (Å) after each atom.
Space group Amm2 (No. 38)
Symmetry-distinct sites (fractional):
1 Pr 0.0000 0.0000 0.0000  1 Cu 3.06, 4 Ga 3.14, 6 Cd 3.34-3.43
2 Y 0.0000 0.2054 0.3845  1 Cu 3.00, 4 Ga 3.09-3.10, 2 Cd 3.35
3 Cd 0.5000 0.0000 0.3466  2 Cu 2.77, 2 Ga 2.87, 2 Cd 3.09
4 Cd 0.5000 0.1228 0.7090  2 Ga 2.80-2.86, 2 Cu 2.84, 1 Cd 3.09
5 Ga 0.5000 0.1695 0.0898  3 Cd 2.80-2.87, 4 Y 3.09-3.10
6 Cu 0.0000 0.0000 0.5824  6 Cd 2.77-2.84, 2 Y 3.00, 1 Pr 3.06


Compound: NaZnTeIr
Source: the Open Quantum Materials Database
Functional: PBE
Structure: optimized geometry

Properties
As for the relative energy among the computed polymorphs: 0.275 eV per atom.

Cell lengths 6.6657, 6.6657, 6.6657 Å; angles 90.00, 90.00, 90.00 degrees
With the nearest neighbours (Å) after each atom.
Space group F-43m (No. 216)
Symmetry-distinct sites (fractional):
1 Na 0.0000 0.0000 0.0000  4 Zn 2.89, 4 Ir 2.89
2 Zn 0.2500 0.2500 0.7500  4 Na 2.89, 4 Te 2.89
3 Te 0.0000 0.0000 0.5000  4 Ir 2.89, 4 Zn 2.89
4 Ir 0.2500 0.2500 0.2500  4 Na 2.89, 4 Te 2.89


Compound: GdTa6Sn4
Source: the Open Quantum Materials Database
Functional: PBE
Structure: optimized geometry

Properties
The calculation puts the final energy at -8.5413 eV/atom.

Cell lengths 5.8279, 5.8279, 23.1162 Å; angles 90.00, 90.00, 120.00 degrees
With the nearest neighbours (Å) after each atom.
Space group R-3m (No. 166, hexagonal axes)
Symmetry-distinct sites (fractional):
1 Gd 0.0000 0.0000 0.0000  2 Sn 2.96
2 Ta 0.0128 0.5064 0.1056  4 Ta 2.80-3.03, 5 Sn 2.89-2.97
3 Sn 0.0000 0.0000 0.1281  9 Ta 2.89-2.96, 1 Gd 2.96
4 Sn 0.0000 0.0000 0.3316  6 Ta 2.96-2.97


Compound: AgPdSO
Source: the Open Quantum Materials Database
Functional: PBE
Structure: optimized geometry

Properties
As for the relative energy among the computed polymorphs: 0.113 eV per atom.

Cell lengths 3.7627, 3.7627, 8.6663 Å; angles 90.00, 90.00, 90.00 degrees
With the nearest neighbours (Å) after each atom.
Space group P4/nmm (No. 129, origin choice 2)
Symmetry-distinct sites (fractional):
1 Ag 0.2500 0.7500 0.0000  4 Ag 2.66, 4 Pd 2.91
2 Pd 0.2500 0.2500 0.2566  1 O 2.32
3 S 0.2500 0.2500 0.6986  1 O 1.51
4 O 0.2500 0.2500 0.5248  1 S 1.51


Compound: Sm2In8Fe
Source: the Open Quantum Materials Database
Functional: PBE
Structure: optimized geometry

Properties
The calculation puts the final energy at -3.8899 eV/atom.

Cell lengths 4.6208, 4.6208, 12.3809 Å; angles 90.00, 90.00, 90.00 degrees
With the nearest neighbours (Å) after each atom.
Space group P4/mmm (No. 123)
Symmetry-distinct sites (fractional):
1 Sm 0.0000 0.0000 0.1940  12 In 3.27-3.33
2 In 0.0000 0.5000 0.0000  8 In 3.27-3.33, 4 Sm 3.33
3 In 0.0000 0.5000 0.3827  2 Fe 2.73, 1 In 2.90
4 In 0.5000 0.5000 0.1932  4 Sm 3.27, 8 In 3.29-3.33
5 Fe 0.0000 0.0000 0.5000  8 In 2.73


Compound: SiIrNO
Source: the Open Quantum Materials Database
Functional: PBE
Structure: optimized geometry

Properties
As for the relative energy among the computed polymorphs: 0.000 eV per atom.

Cell lengths 2.9016, 6.5868, 4.9928 Å; angles 90.00, 90.00, 90.00 degrees
With the nearest neighbours (Å) after each atom.
Space group Pmc2_1 (No. 26)
Symmetry-distinct sites (fractional):
1 Si 0.0000 0.1324 0.0000  2 O 1.63, 2 N 1.71
2 Ir 0.5000 0.4594 0.6242  2 N 2.01-2.09
3 N 0.5000 0.2601 0.9297  2 Si 1.71
4 O 0.0000 0.0723 0.3164  2 Si 1.63


Compound: LuAgSnTeSe2
Source: the Open Quantum Materials Database
Functional: PBE
Structure: optimized geometry

Properties
The calculation puts the final energy at -4.3561 eV/atom.

Cell lengths 4.0972, 13.9620, 11.0232 Å; angles 90.00, 90.00, 90.00 degrees
With the nearest neighbours (Å) after each atom.
Space group Cmcm (No. 63)
Symmetry-distinct sites (fractional):
1 Lu 0.0000 0.0000 0.0000  4 Se 2.85, 2 Te 3.14
2 Ag 0.0000 0.4720 0.2500  2 Se 2.63, 2 Te 2.80
3 Sn 0.0000 0.2130 0.7500  4 Se 3.17, 2 Te 3.23, 2 Ag 3.30
4 Te 0.0000 0.1084 0.2500  2 Ag 2.80
5 Se 0.0000 0.3642 0.0542  1 Ag 2.63, 2 Lu 2.85


Compound: TaAgPb2
Source: the Open Quantum Materials Database
Functional: PBE
Structure: optimized geometry

Properties
The calculation puts the final energy at -4.7015 eV/atom.

Cell lengths 7.2395, 7.2395, 7.2395 Å; angles 90.00, 90.00, 90.00 degrees
With the nearest neighbours (Å) after each atom.
Space group F-43m (No. 216)
Symmetry-distinct sites (fractional):
1 Ta 0.0000 0.0000 0.0000  4 Pb 3.13, 4 Ag 3.13
2 Ag 0.2500 0.2500 0.2500  4 Ta 3.13, 4 Pb 3.13
3 Pb 0.0000 0.0000 0.5000  4 Ag 3.13, 4 Pb 3.13
4 Pb 0.2500 0.2500 0.7500  4 Ta 3.13, 4 Pb 3.13


Compound: CuReBiSb
Source: the Open Quantum Materials Database
Functional: PBE
Structure: optimized geometry

Properties
As for the relative energy among the computed polymorphs: 0.000 eV per atom.

Cell lengths 6.7573, 6.7573, 6.7573 Å; angles 90.00, 90.00, 90.00 degrees
With the nearest neighbours (Å) after each atom.
Space group F-43m (No. 216)
Symmetry-distinct sites (fractional):
1 Cu 0.0000 0.0000 0.0000  4 Bi 2.93, 4 Sb 2.93
2 Re 0.0000 0.0000 0.5000  4 Sb 2.93, 4 Bi 2.93
3 Bi 0.2500 0.2500 0.2500  4 Re 2.93, 4 Cu 2.93
4 Sb 0.2500 0.2500 0.7500  4 Re 2.93, 4 Cu 2.93


Compound: Pa4Tc7Ge6
Source: the Open Quantum Materials Database
Functional: PBE
Structure: optimized geometry

Properties
The calculation puts the final energy at -8.7216 eV/atom.

Cell lengths 8.4244, 8.4244, 8.4244 Å; angles 90.00, 90.00, 90.00 degrees
With the nearest neighbours (Å) after each atom.
Space group Im-3m (No. 229)
Symmetry-distinct sites (fractional):
1 Pa 0.2500 0.2500 0.2500  6 Tc 2.98, 6 Ge 3.02
2 Tc 0.0000 0.0000 0.0000  6 Ge 2.62
3 Tc 0.0000 0.2500 0.5000  4 Ge 2.64
4 Ge 0.0000 0.0000 0.3114  5 Tc 2.62-2.64


Compound: NbAsO2F6
Source: the Open Quantum Materials Database
Functional: PBE
Structure: optimized geometry

Properties
The calculation puts the final energy at -5.3807 eV/atom.

Cell lengths 5.8986, 7.2723, 4.6614 Å; angles 90.00, 96.97, 90.00 degrees
With the nearest neighbours (Å) after each atom.
Space group C2/m (No. 12)
Symmetry-distinct sites (fractional):
1 Nb 0.0000 0.0000 0.0000  4 F 1.95, 2 O 2.13
2 As 0.0000 0.5000 0.5000  2 O 1.68, 2 F 1.84
3 O 0.1487 0.5000 0.8310  1 As 1.68
4 F 0.0547 0.2092 0.2612  1 Nb 1.95
5 F 0.2337 0.0000 0.6671  1 As 1.84


Compound: LaNdAsO
Source: the Open Quantum Materials Database
Functional: PBE
Structure: optimized geometry

Properties
As for the relative energy among the computed polymorphs: 0.121 eV per atom.

Cell lengths 4.3694, 4.3694, 9.6312 Å; angles 90.00, 90.00, 90.00 degrees
With the nearest neighbours (Å) after each atom.
Space group P4/nmm (No. 129, origin choice 2)
Symmetry-distinct sites (fractional):
1 La 0.2500 0.7500 0.0000  4 As 3.03, 4 La 3.09
2 Nd 0.2500 0.2500 0.3957  4 O 2.40
3 As 0.2500 0.2500 0.7823  4 La 3.03
4 O 0.2500 0.7500 0.5000  4 Nd 2.40


Compound: HfFeNiSb
Source: the Open Quantum Materials Database
Functional: PBE
Structure: optimized geometry

Properties
As for the relative energy among the computed polymorphs: 0.316 eV per atom.

Cell lengths 6.4173, 6.4173, 6.4173 Å; angles 90.00, 90.00, 90.00 degrees
With the nearest neighbours (Å) after each atom.
Space group F-43m (No. 216)
Symmetry-distinct sites (fractional):
1 Hf 0.0000 0.0000 0.0000  4 Fe 2.78, 4 Sb 2.78
2 Fe 0.2500 0.2500 0.7500  4 Hf 2.78, 4 Ni 2.78
3 Ni 0.0000 0.0000 0.5000  4 Fe 2.78, 4 Sb 2.78
4 Sb 0.2500 0.2500 0.2500  4 Hf 2.78, 4 Ni 2.78


Compound: HfZnAu2
Source: the Open Quantum Materials Database
Functional: PBE
Structure: optimized geometry

Properties
The calculation puts the final energy at -4.7469 eV/atom.

Cell lengths 7.2088, 7.3311, 5.4947 Å; angles 90.00, 90.00, 90.00 degrees
With the nearest neighbours (Å) after each atom.
Space group Pnma (No. 62)
Symmetry-distinct sites (fractional):
1 Hf 0.0441 0.2500 0.1502  6 Au 2.87-3.09, 3 Zn 2.88-3.06
2 Zn 0.0941 0.7500 0.3586  6 Au 2.60-2.65, 1 Hf 2.88
3 Au 0.2063 0.0488 0.5698  3 Zn 2.60-2.65, 1 Hf 2.87, 2 Au 2.91